# HAu3

A relaxed HAu3 crystal (PBE, Alexandria).

Summary:
**Offset from the most stable computed form**: 0.000 eV/atom
**Space-group type**: No. 71
**D(E_F)**: 0.17 states/eV/atom
**Uncorrected energy**: -12.374 eV/cell

Unit cell a=2.8104 b=5.3438 c=4.9778 alpha=122.46 beta=106.40 gamma=90.00
Fractional coordinates of all 4 atoms:
H: 0.0000 0.9162 0.0000
Au: 0.5000 0.4167 0.0000
Au: 0.6821 0.0989 0.3641
Au: 0.3179 0.7348 0.6359

# RbPtBr2

A relaxed RbPtBr2 crystal (PBE, Alexandria).

Summary:
**Offset from the most stable computed form**: 0.439 eV/atom
**Space-group type**: No. 225
**D(E_F)**: 1.76 states/eV/atom
**Uncorrected energy**: -10.584 eV/cell
**ΔE_f (raw)**: -0.0575 eV per atom

Unit cell a=5.3458 b=5.3458 c=5.3458 alpha=60.00 beta=60.00 gamma=60.00
Site moments in Bohr magnetons follow the coordinates.
Fractional coordinates of all 4 atoms:
Br: 0.7500 0.7500 0.7500  0.10
Br: 0.2500 0.2500 0.2500  0.10
Rb: 0.0000 0.0000 0.0000  0.00
Pt: 0.5000 0.5000 0.5000  0.74

- The lowest D(E_F) belongs to which entry?
  HAu3

- Which value of offset from the most stable computed form does entry 1 give?
  0.000 eV/atom